Here is a relaxed ZrGe crystal from Alexandria via LeMat-Bulk. Energies are from PBE.

a b c (Å): 7.5132 7.5132 7.5132
angles (deg): 90.00 90.00 90.00
Last column: nearest neighbours and their distance in Å.
Sites, in units of the cell vectors:
Zr 0.0000 0.2500 0.5000  4 Ge 2.66
Zr 0.0000 0.7500 0.5000  4 Ge 2.66
Zr 0.2500 0.5000 0.0000  4 Ge 2.66
Zr 0.5000 0.0000 0.2500  4 Ge 2.66
Zr 0.5000 0.0000 0.7500  4 Ge 2.66
Zr 0.7500 0.5000 0.0000  4 Ge 2.66
Ge 0.0000 0.5000 0.2500  4 Zr 2.66
Ge 0.0000 0.5000 0.7500  4 Zr 2.66
Ge 0.2500 0.0000 0.5000  4 Zr 2.66
Ge 0.5000 0.2500 0.0000  4 Zr 2.66
Ge 0.5000 0.7500 0.0000  4 Zr 2.66
Ge 0.7500 0.0000 0.5000  4 Zr 2.66

Properties
As for the space-group type: Pm-3n, No. 223. The value obtained for the energy of formation is 298 meV/atom. As for the volume: 35.342 Å³ per atom. As for the total moment: 0.000 μB per cell. The theoretical density comes out at 3.8 g/cm³. The raw total energy is -75.41 eV for the cell shown.